# 1
The following is a PBE calculation of a relaxed Nb3FeCo4 crystal, from OQMD.

Unit cell a=5.9819 b=5.9819 c=5.9819 alpha=131.82 beta=131.82 gamma=70.52
Closest atoms and distances in Å follow each position.
Positions (direct):
Nb1 0.0000 0.0000 0.0000  6 Co 2.44-2.54
Nb2 0.2500 0.7500 0.5000  6 Co 2.44
Nb3 0.7500 0.2500 0.5000  6 Co 2.44
Fe1 0.5000 0.5000 0.0000  6 Co 2.35-2.44
Co1 0.0000 0.5000 0.5000  4 Nb 2.44, 2 Fe 2.44
Co2 0.2597 0.2597 0.0000  1 Fe 2.35, 5 Nb 2.44-2.54
Co3 0.5000 0.0000 0.5000  4 Nb 2.44, 2 Fe 2.44
Co4 0.7403 0.7403 0.0000  1 Fe 2.35, 5 Nb 2.44-2.54

Calculated values
ΔE_f (eV per formula unit): 3.5
Total moment (μB per formula unit): 3.16
Space-group type: I4/mmm

# 2
The following is a PBE calculation of a relaxed Nb2FeCo crystal, from OQMD.

Unit cell a=4.3134 b=4.3134 c=4.3134 alpha=60.00 beta=60.00 gamma=60.00
Closest atoms and distances in Å follow each position.
Positions (direct):
Nb1 0.0000 0.0000 0.0000  4 Nb 2.64, 4 Fe 2.64
Nb2 0.2500 0.2500 0.2500  4 Nb 2.64, 4 Co 2.64
Fe1 0.7500 0.7500 0.7500  4 Nb 2.64, 4 Co 2.64
Co1 0.5000 0.5000 0.5000  4 Nb 2.64, 4 Fe 2.64

Calculated values
ΔE_f (eV per formula unit): 0.5
Total moment (μB per formula unit): 1.67
Space-group type: F-43m

# 3
The following is a PBE calculation of a relaxed NbFeCo crystal, from OQMD.

Unit cell a=3.9606 b=3.9606 c=3.9606 alpha=60.00 beta=60.00 gamma=60.00
Closest atoms and distances in Å follow each position.
Positions (direct):
Nb1 0.0000 0.0000 0.0000  4 Co 2.43
Fe1 0.5000 0.5000 0.5000  4 Co 2.43
Co1 0.7500 0.7500 0.7500  4 Fe 2.43, 4 Nb 2.43

Calculated values
ΔE_f (eV per formula unit): 1.2
Total moment (μB per formula unit): 2.60
Space-group type: F-43m
Polymorph energy (0 for the lowest one) (meV per atom): 0

# 4
The following is a PBE calculation of a relaxed NbFeCoPb crystal, from OQMD.

Unit cell a=4.5056 b=4.5056 c=4.5056 alpha=60.00 beta=60.00 gamma=60.00
Closest atoms and distances in Å follow each position.
Positions (direct):
Nb1 0.0000 0.0000 0.0000  4 Fe 2.76, 4 Pb 2.76
Fe1 0.7500 0.7500 0.7500  4 Co 2.76, 4 Nb 2.76
Co1 0.5000 0.5000 0.5000  4 Fe 2.76, 4 Pb 2.76
Pb1 0.2500 0.2500 0.2500  4 Co 2.76, 4 Nb 2.76

Calculated values
Total moment (μB per formula unit): 2.70
Space-group type: F-43m
Polymorph energy (0 for the lowest one) (meV per atom): 218

# 5
The following is a PBE calculation of a relaxed NbFeCoPb crystal, from OQMD.

Unit cell a=4.4248 b=4.4248 c=4.4248 alpha=60.00 beta=60.00 gamma=60.00
Closest atoms and distances in Å follow each position.
Positions (direct):
Nb1 0.0000 0.0000 0.0000  4 Co 2.71, 4 Fe 2.71
Fe1 0.2500 0.2500 0.2500  4 Nb 2.71, 4 Pb 2.71
Co1 0.7500 0.7500 0.7500  4 Nb 2.71, 4 Pb 2.71
Pb1 0.5000 0.5000 0.5000  4 Co 2.71, 4 Fe 2.71

Calculated values
Total moment (μB per formula unit): 2.04
Space-group type: F-43m
Polymorph energy (0 for the lowest one) (meV per atom): 0

# 6
The following is a PBE calculation of a relaxed NbTlFeCo crystal, from OQMD.

Unit cell a=4.4737 b=4.4737 c=4.4737 alpha=60.00 beta=60.00 gamma=60.00
Closest atoms and distances in Å follow each position.
Positions (direct):
Nb1 0.0000 0.0000 0.0000  4 Fe 2.74, 4 Tl 2.74
Tl1 0.2500 0.2500 0.2500  4 Nb 2.74, 4 Co 2.74
Fe1 0.7500 0.7500 0.7500  4 Nb 2.74, 4 Co 2.74
Co1 0.5000 0.5000 0.5000  4 Fe 2.74, 4 Tl 2.74

Calculated values
Total moment (μB per formula unit): 3.15
Space-group type: F-43m
Polymorph energy (0 for the lowest one) (meV per atom): 196